# 1
Rb3Sm3BiTe8: optimized geometry, PBE-GGA.

Calculated values
final energy: -62.8 eV/cell
E_form (uncorrected): -1.1145 eV per atom
space-group type: C2/m

a b c (Å): 9.0413 9.0413 10.2523
angles (deg): 116.29 116.29 59.84
Closest atoms and distances in Å follow each position.
Fractional positions:
Rb (0.0000, 0.0000, 0.0000)  6 Te 3.69-3.71
Rb (0.0000, 0.5000, 0.0000)  6 Te 3.69-3.71
Rb (0.5000, 0.0000, 0.0000)  6 Te 3.69-3.71
Sm (0.0000, 0.5000, 0.5000)  6 Te 3.15-3.17
Sm (0.5000, 0.0000, 0.5000)  6 Te 3.15-3.17
Sm (0.5000, 0.5000, 0.5000)  6 Te 3.15-3.17
Bi (0.0000, 0.0000, 0.5000)  6 Te 3.18
Te (0.2360, 0.2360, 0.7022)  2 Sm 3.15, 1 Bi 3.18
Te (0.2359, 0.7305, 0.7020)  2 Sm 3.15, 1 Bi 3.18
Te (0.2652, 0.2652, 0.2959)  3 Sm 3.17
Te (0.2695, 0.7641, 0.2980)  2 Sm 3.15, 1 Bi 3.18
Te (0.7305, 0.2359, 0.7020)  2 Sm 3.15, 1 Bi 3.18
Te (0.7348, 0.7348, 0.7041)  3 Sm 3.17
Te (0.7641, 0.2695, 0.2980)  2 Sm 3.15, 1 Bi 3.18
Te (0.7640, 0.7640, 0.2978)  2 Sm 3.15, 1 Bi 3.18

=====

# 2
K2ThPbSe4: optimized geometry, PBE-GGA.

Calculated values
final energy: -38.1 eV/cell
E_form (uncorrected): -1.3495 eV per atom
space-group type: P2/m

a b c (Å): 7.6831 4.4116 8.0389
angles (deg): 90.00 108.00 90.00
Closest atoms and distances in Å follow each position.
Fractional positions:
K (0.0000, 0.0000, 0.0000)  6 Se 3.29-3.31
K (0.5000, 0.5000, 0.0000)  6 Se 3.44-3.47
Th (0.0000, 0.5000, 0.5000)  6 Se 2.89-2.97
Pb (0.5000, 0.0000, 0.5000)  6 Se 3.10-3.11
Se (0.2218, 0.0000, 0.7095)  2 Th 2.97, 1 Pb 3.10, 1 K 3.29
Se (0.2418, 0.5000, 0.2866)  1 Th 2.89, 2 Pb 3.11
Se (0.7582, 0.5000, 0.7134)  1 Th 2.89, 2 Pb 3.11
Se (0.7782, 0.0000, 0.2905)  2 Th 2.97, 1 Pb 3.10, 1 K 3.29